Ba2GaAu7, relaxed, DFT PBE; total energy = -34.57 eV/cell; SG = P-4m2; ΔE_f = -0.475 eV/atom
1.0
4.749 0.000 0.000
0.000 4.749 0.000
0.000 0.000 11.179
Ba Ga Au
2 1 7
Direct
0.000 0.500 0.240
0.500 0.000 0.760
0.000 0.000 0.500
0.000 0.000 0.000
0.000 0.500 0.621
0.000 0.500 0.863
0.500 0.000 0.137
0.500 0.000 0.379
0.500 0.500 0.000
0.500 0.500 0.500